(1)
An optimized crystal structure of Rb2MgClF3, computed with PBE.

Cell: 4.9752 4.1324 7.7892 Å, 105.38 108.62 90.00°
Last column: nearest neighbours and their distance in Å.
Atoms (fractional coordinates):
Rb1 0.6621 0.6621 0.3241  1 F 2.76
Rb2 0.3379 0.3379 0.6759  1 F 2.76
Mg1 0.0000 0.0000 0.0000  4 F 2.03-2.07
Cl1 0.5000 0.0000 0.0000  2 Mg 2.49
F1 0.0000 0.5000 0.0000  2 Mg 2.07
F2 0.1434 0.1434 0.2867  1 Mg 2.03
F3 0.8566 0.8566 0.7133  1 Mg 2.03

DOS at the Fermi energy in states/eV per cell: 0.0
E_form (uncorrected) in eV/atom: -2.7109

=====

(2)
An optimized crystal structure of Rb2MgCl3F, computed with PBE.

Cell: 4.0671 5.2324 9.1149 Å, 106.68 102.89 90.00°
Last column: nearest neighbours and their distance in Å.
Atoms (fractional coordinates):
Rb1 0.6478 0.6478 0.2957  7 Cl 3.23-3.38
Rb2 0.3522 0.3522 0.7043  7 Cl 3.23-3.38
Mg1 0.0000 0.0000 0.0000  2 F 2.03
Cl1 0.0000 0.5000 0.0000  2 Mg 2.62
Cl2 0.1530 0.1530 0.3059  1 Mg 2.60
Cl3 0.8470 0.8470 0.6941  1 Mg 2.60
F1 0.5000 0.0000 0.0000  2 Mg 2.03

DOS at the Fermi energy in states/eV per cell: 0.0
E_form (uncorrected) in eV/atom: -2.2309

=====

(3)
An optimized crystal structure of RbMgCl2F, computed with PBE.

Cell: 5.2509 5.2509 3.9668 Å, 90.00 90.00 90.00°
Last column: nearest neighbours and their distance in Å.
Atoms (fractional coordinates):
Mg1 0.0000 0.0000 0.0000  2 F 1.98
F1 0.0000 0.0000 0.5000  2 Mg 1.98
Rb1 0.5000 0.5000 0.5000  8 Cl 3.29
Cl1 0.0000 0.5000 0.0000  2 Mg 2.63
Cl2 0.5000 0.0000 0.0000  2 Mg 2.63

DOS at the Fermi energy in states/eV per cell: 0.0
E_form (uncorrected) in eV/atom: -2.3473

=====

(4)
An optimized crystal structure of Rb2MgCl6F, computed with PBE.

Cell: 7.9318 7.9318 7.2202 Å, 56.68 56.68 90.00°
Last column: nearest neighbours and their distance in Å.
Atoms (fractional coordinates):
Mg1 0.0000 0.0000 0.0000  6 Cl 2.42-2.57
F1 0.5000 0.5000 0.0000  2 Cl 1.98
Rb1 0.7500 0.2500 0.5000  12 Cl 3.63-3.98
Rb2 0.2500 0.7500 0.5000  12 Cl 3.63-3.98
Cl1 0.2821 0.2821 0.4358  1 F 1.98
Cl2 0.7179 0.7179 0.5642  1 F 1.98
Cl3 0.2155 0.2155 0.0000  1 Mg 2.42
Cl4 0.7845 0.7845 0.0000  1 Mg 2.42
Cl5 0.7845 0.2155 0.0000  1 Mg 2.42
Cl6 0.2155 0.7845 0.0000  1 Mg 2.42

DOS at the Fermi energy in states/eV per cell: 13.5
E_form (uncorrected) in eV/atom: -1.2065

=====

(5)
An optimized crystal structure of Rb2MgClF6, computed with PBE.

Cell: 6.6192 6.6192 6.1432 Å, 57.40 57.40 90.00°
Last column: nearest neighbours and their distance in Å.
Atoms (fractional coordinates):
Mg1 0.5000 0.5000 0.0000  6 F 1.95-2.16
F1 0.2282 0.2282 0.5437  1 Cl 1.82
F2 0.7718 0.7718 0.4563  1 Cl 1.82
F3 0.2913 0.2913 0.0000  1 Mg 1.95
F4 0.7087 0.7087 0.0000  1 Mg 1.95
F5 0.7087 0.2913 0.0000  1 Mg 1.95
F6 0.2913 0.7087 0.0000  1 Mg 1.95
Rb1 0.7500 0.2500 0.5000  12 F 3.10-3.31
Rb2 0.2500 0.7500 0.5000  12 F 3.10-3.31
Cl1 0.0000 0.0000 0.0000  2 F 1.82

DOS at the Fermi energy in states/eV per cell: 6.9
E_form (uncorrected) in eV/atom: -2.2361

=====

(6)
An optimized crystal structure of Rb2MgCl2F2, computed with PBE.

Cell: 4.4136 4.4136 8.6434 Å, 104.79 104.79 90.00°
Last column: nearest neighbours and their distance in Å.
Atoms (fractional coordinates):
Rb1 0.3705 0.3705 0.7410  4 F 3.04, 4 Cl 3.15
Rb2 0.6295 0.6295 0.2590  4 F 3.04, 4 Cl 3.15
Mg1 0.0000 0.0000 0.0000  4 F 2.21
Cl1 0.1551 0.1551 0.3101  1 Mg 2.50
Cl2 0.8449 0.8449 0.6899  1 Mg 2.50
F1 0.0000 0.5000 0.0000  2 Mg 2.21
F2 0.5000 0.0000 0.0000  2 Mg 2.21

DOS at the Fermi energy in states/eV per cell: 0.0
E_form (uncorrected) in eV/atom: -2.5051

=====

(7)
An optimized crystal structure of MgRh2ClF, computed with PBE.

Cell: 4.3123 5.1184 4.3123 Å, 90.00 90.00 90.00°
Last column: nearest neighbours and their distance in Å.
Atoms (fractional coordinates):
Mg1 0.0000 0.5000 0.0000  2 Cl 2.56
F1 0.5000 0.5000 0.5000  4 Mg 3.05, 8 Rh 3.35
Rh1 0.0000 0.0000 0.5000  2 Cl 2.16
Rh2 0.5000 0.0000 0.0000  2 Cl 2.16
Cl1 0.0000 0.0000 0.0000  4 Rh 2.16

DOS at the Fermi energy in states/eV per cell: 4.3
E_form (uncorrected) in eV/atom: 0.1832

=====

(8)
An optimized crystal structure of MgSi2ClF, computed with PBE.

Cell: 4.7456 4.7456 5.2841 Å, 90.00 90.00 90.00°
Last column: nearest neighbours and their distance in Å.
Atoms (fractional coordinates):
Si1 0.0000 0.5000 0.0000  2 Cl 2.37
Si2 0.5000 0.0000 0.0000  2 Cl 2.37
F1 0.5000 0.5000 0.5000  4 Mg 3.36, 8 Si 3.55
Mg1 0.0000 0.0000 0.5000  2 Cl 2.64
Cl1 0.0000 0.0000 0.0000  4 Si 2.37, 2 Mg 2.64

DOS at the Fermi energy in states/eV per cell: 3.7
E_form (uncorrected) in eV/atom: 0.6327

=====

no.,magnetic moment (μB per formula unit)
1,0.000
2,0.006
3,0.000
4,1.000
5,1.000
6,0.000
7,0.547
8,0.000